Entry 1:
This record from Alexandria via LeMat-Bulk describes a relaxed Li3TmAg3 crystal. The functional is PBE-GGA.

E: -2.41 eV/atom
Total magnetic moment: 0.00 Bohr magnetons per cell
Energy relative to the elements: 270 meV/atom

abc: 6.726 6.726 6.726
angles: 90.00 90.00 90.00
Atoms (fractional coordinates):
Li  0.000  0.250  0.500
Li  0.000  0.750  0.500
Li  0.250  0.500  0.000
Li  0.500  0.000  0.250
Li  0.500  0.000  0.750
Li  0.750  0.500  0.000
Tm  0.000  0.000  0.000
Tm  0.500  0.500  0.500
Ag  0.000  0.500  0.250
Ag  0.000  0.500  0.750
Ag  0.250  0.000  0.500
Ag  0.500  0.250  0.000
Ag  0.500  0.750  0.000
Ag  0.750  0.000  0.500

***

Entry 2:
This record from Alexandria via LeMat-Bulk describes a relaxed Li3TmAg7 crystal. The functional is PBE-GGA.

E: -2.78 eV/atom
Total magnetic moment: 0.00 Bohr magnetons per cell
Energy relative to the elements: -41 meV/atom

abc: 6.325 6.325 5.662
angles: 103.00 103.00 99.26
Atoms (fractional coordinates):
Li  0.000  0.000  0.000
Li  0.231  0.769  0.500
Li  0.769  0.231  0.500
Tm  0.500  0.500  0.000
Ag  0.041  0.587  0.806
Ag  0.178  0.178  0.543
Ag  0.413  0.959  0.194
Ag  0.500  0.500  0.500
Ag  0.587  0.041  0.806
Ag  0.822  0.822  0.457
Ag  0.959  0.413  0.194

***

Question: Which of these has the highest E?
Answer: Li3TmAg3

***

Question: E of number 1 (Li3TmAg3)?
Answer: -2.41 eV/atom